Entry 1:
# PBE CaSiNi2, relaxed
data_CaSiNi2
_cell_length_a 3.9929
_cell_length_b 3.9929
_cell_length_c 9.8881
_cell_angle_alpha 90.00
_cell_angle_beta 90.00
_cell_angle_gamma 120.00
_space_group_name_H-M_alt 'P 63/m m c'
_space_group_IT_number 194
_space_group_name_Hall '-P 6c 2c'
loop_
_atom_site_label
_atom_site_type_symbol
_atom_site_fract_x
_atom_site_fract_y
_atom_site_fract_z
Ca1 Ca 0.3333 0.6667 0.2500
Si1 Si 0.0000 0.0000 0.0000
Ni1 Ni 0.3333 0.6667 0.5402
# formation energy (no corrections) = -0.545 eV/atom
# magnetization = 0.0 μB/f.u.
# N(E_F) = 0.4732 states/eV/atom

=====

Entry 2:
# PBE Zr3BeNi, relaxed
data_Zr3BeNi
_cell_length_a 4.639
_cell_length_b 4.639
_cell_length_c 4.639
_cell_angle_alpha 90.00
_cell_angle_beta 90.00
_cell_angle_gamma 90.00
_space_group_name_H-M_alt 'P m -3 m'
_space_group_IT_number 221
_space_group_name_Hall '-P 4 2 3'
loop_
_atom_site_label
_atom_site_type_symbol
_atom_site_fract_x
_atom_site_fract_y
_atom_site_fract_z
Zr1 Zr 0.000 0.000 0.500
Be1 Be 0.000 0.000 0.000
Ni1 Ni 0.500 0.500 0.500
# electronic total energy = -6.526 eV per atom
# magnetization = 0.0 μB/f.u.
# N(E_F) = 2.0403 states/eV/atom

=====

Entry 3:
# PBE Pm4ZrSe5, relaxed
data_Pm4ZrSe5
_cell_length_a 4.1250
_cell_length_b 4.1250
_cell_length_c 50.7957
_cell_angle_alpha 90.00
_cell_angle_beta 90.00
_cell_angle_gamma 120.00
_space_group_name_H-M_alt 'R -3 m'
_space_group_IT_number 166
_space_group_name_Hall '-R 3 2"'
loop_
_atom_site_label
_atom_site_type_symbol
_atom_site_fract_x
_atom_site_fract_y
_atom_site_fract_z
Pm1 Pm 0.0000 0.0000 0.1039
Pm2 Pm 0.0000 0.0000 0.2990
Zr1 Zr 0.0000 0.0000 0.5000
Se1 Se 0.0000 0.0000 0.0000
Se2 Se 0.0000 0.0000 0.1955
Se3 Se 0.0000 0.0000 0.4026
# formation energy (no corrections) = -1.663 eV/atom
# magnetization = 0.0 μB/f.u.
# N(E_F) = 0.4599 states/eV/atom

=====

Entry 4:
# PBE Li2HO, relaxed
data_Li2HO
_cell_length_a 4.829
_cell_length_b 4.829
_cell_length_c 4.829
_cell_angle_alpha 90.00
_cell_angle_beta 90.00
_cell_angle_gamma 90.00
_space_group_name_H-M_alt 'F m -3 m'
_space_group_IT_number 225
_space_group_name_Hall '-F 4 2 3'
loop_
_atom_site_label
_atom_site_type_symbol
_atom_site_fract_x
_atom_site_fract_y
_atom_site_fract_z
Li1 Li 0.250 0.250 0.250
H1 H 0.000 0.000 0.000
O1 O 0.000 0.000 0.500
# electronic total energy = -3.878 eV per atom
# magnetization = 0.0 μB/f.u.
# N(E_F) = 0.3577 states/eV/atom

=====

Entry 5:
# PBE Ac12PuGe7, relaxed
data_Ac12PuGe7
_cell_length_a 15.9266
_cell_length_b 15.9266
_cell_length_c 10.8636
_cell_angle_alpha 90.00
_cell_angle_beta 90.00
_cell_angle_gamma 120.00
_space_group_name_H-M_alt 'R -3'
_space_group_IT_number 148
_space_group_name_Hall '-R 3'
loop_
_atom_site_label
_atom_site_type_symbol
_atom_site_fract_x
_atom_site_fract_y
_atom_site_fract_z
Ac1 Ac 0.0238 0.4353 0.1625
Ac2 Ac 0.0485 0.8705 0.8293
Pu1 Pu 0.0000 0.0000 0.5000
Ge1 Ge 0.0000 0.0000 0.0000
Ge2 Ge 0.0481 0.8738 0.3420
# electronic total energy = -5.152 eV per atom
# magnetization = 5.9 μB/f.u.
# N(E_F) = 1.7239 states/eV/atom

=====

Entry 6:
# PBE BeFe5, relaxed
data_BeFe5
_cell_length_a 3.928
_cell_length_b 2.440
_cell_length_c 12.694
_cell_angle_alpha 90.00
_cell_angle_beta 90.00
_cell_angle_gamma 90.00
_space_group_name_H-M_alt 'A m m 2'
_space_group_IT_number 38
loop_
_space_group_symop_operation_xyz
'x,y,z'
'-x,-y,z'
'-x,y,z'
'x,-y,z'
'x,y+1/2,z+1/2'
'-x,-y+1/2,z+1/2'
'-x,y+1/2,z+1/2'
'x,-y+1/2,z+1/2'
loop_
_atom_site_label
_atom_site_type_symbol
_atom_site_fract_x
_atom_site_fract_y
_atom_site_fract_z
Be1 Be 0.000 0.000 0.000
Fe1 Fe 0.000 0.000 0.334
Fe2 Fe 0.000 0.000 0.662
Fe3 Fe 0.500 0.000 0.224
Fe4 Fe 0.500 0.000 0.552
Fe5 Fe 0.500 0.000 0.894
# electronic total energy = -7.621 eV per atom
# magnetization = 2.2 μB/f.u.
# N(E_F) = 0.7834 states/eV/atom

=====

Entry 7:
# PBE In2Pd12Pb5, relaxed
data_In2Pd12Pb5
_cell_length_a 14.113
_cell_length_b 7.553
_cell_length_c 7.386
_cell_angle_alpha 90.00
_cell_angle_beta 94.29
_cell_angle_gamma 90.00
_space_group_name_H-M_alt 'C 1 2/m 1'
_space_group_IT_number 12
loop_
_space_group_symop_operation_xyz
'x,y,z'
'-x,-y,-z'
'-x,y,-z'
'x,-y,z'
'x+1/2,y+1/2,z'
'-x+1/2,-y+1/2,-z'
'-x+1/2,y+1/2,-z'
'x+1/2,-y+1/2,z'
loop_
_atom_site_label
_atom_site_type_symbol
_atom_site_fract_x
_atom_site_fract_y
_atom_site_fract_z
In1 In 0.000 0.214 0.000
Pd1 Pd 0.007 0.500 0.224
Pd2 Pd 0.107 0.310 0.499
Pd3 Pd 0.111 0.000 0.230
Pd4 Pd 0.183 0.310 0.125
Pb1 Pb 0.000 0.000 0.500
Pb2 Pb 0.190 0.500 0.810
Pb3 Pb 0.226 0.000 0.598
# electronic total energy = -4.708 eV per atom
# magnetization = 0.0 μB/f.u.
# N(E_F) = 0.4125 states/eV/atom

=====

Entry 8:
# PBE Dy2GePd8, relaxed
data_Dy2GePd8
_cell_length_a 4.658
_cell_length_b 5.910
_cell_length_c 14.054
_cell_angle_alpha 90.00
_cell_angle_beta 90.00
_cell_angle_gamma 90.00
_space_group_name_H-M_alt 'I m m m'
_space_group_IT_number 71
_space_group_name_Hall '-I 2 2'
loop_
_atom_site_label
_atom_site_type_symbol
_atom_site_fract_x
_atom_site_fract_y
_atom_site_fract_z
Dy1 Dy 0.000 0.000 0.188
Ge1 Ge 0.000 0.000 0.500
Pd1 Pd 0.000 0.256 0.000
Pd2 Pd 0.000 0.258 0.367
Pd3 Pd 0.000 0.500 0.183
# electronic total energy = -5.715 eV per atom
# magnetization = 0.0 μB/f.u.
# N(E_F) = 0.3407 states/eV/atom

=====

Entry 9:
# PBE Li2TlTcPd, relaxed
data_Li2TlTcPd
_cell_length_a 4.885
_cell_length_b 4.885
_cell_length_c 4.715
_cell_angle_alpha 90.00
_cell_angle_beta 90.00
_cell_angle_gamma 90.00
_space_group_name_H-M_alt 'P 4/m m m'
_space_group_IT_number 123
_space_group_name_Hall '-P 4 2'
loop_
_atom_site_label
_atom_site_type_symbol
_atom_site_fract_x
_atom_site_fract_y
_atom_site_fract_z
Li1 Li 0.000 0.500 0.000
Tl1 Tl 0.000 0.000 0.500
Tc1 Tc 0.500 0.500 0.000
Pd1 Pd 0.500 0.500 0.500
# electronic total energy = -3.519 eV per atom
# magnetization = 1.0 μB/f.u.
# N(E_F) = 0.9350 states/eV/atom

=====

Entry 10:
# PBE Ba2InHg, relaxed
data_Ba2InHg
_cell_length_a 4.219
_cell_length_b 4.219
_cell_length_c 8.580
_cell_angle_alpha 90.00
_cell_angle_beta 90.00
_cell_angle_gamma 90.00
_space_group_name_H-M_alt 'P 4/m m m'
_space_group_IT_number 123
_space_group_name_Hall '-P 4 2'
loop_
_atom_site_label
_atom_site_type_symbol
_atom_site_fract_x
_atom_site_fract_y
_atom_site_fract_z
Ba1 Ba 0.000 0.000 0.248
In1 In 0.500 0.500 0.500
Hg1 Hg 0.500 0.500 0.000
# electronic total energy = -2.191 eV per atom
# magnetization = 0.0 μB/f.u.
# N(E_F) = 0.4989 states/eV/atom

=====

Entry 11:
# PBE LaTe2PdI, relaxed
data_LaTe2PdI
_cell_length_a 6.193
_cell_length_b 6.193
_cell_length_c 6.201
_cell_angle_alpha 90.00
_cell_angle_beta 90.00
_cell_angle_gamma 90.00
_space_group_name_H-M_alt 'P 4/m m m'
_space_group_IT_number 123
_space_group_name_Hall '-P 4 2'
loop_
_atom_site_label
_atom_site_type_symbol
_atom_site_fract_x
_atom_site_fract_y
_atom_site_fract_z
La1 La 0.000 0.000 0.000
Te1 Te 0.000 0.500 0.000
Pd1 Pd 0.500 0.500 0.500
I1 I 0.000 0.000 0.500
# formation energy (no corrections) = 0.048 eV/atom
# magnetization = 1.5 μB/f.u.
# N(E_F) = 2.2674 states/eV/atom

=====

Entry 12:
# PBE NaEu2I, relaxed
data_NaEu2I
_cell_length_a 3.940
_cell_length_b 3.940
_cell_length_c 9.790
_cell_angle_alpha 90.00
_cell_angle_beta 90.00
_cell_angle_gamma 90.00
_space_group_name_H-M_alt 'P 4/m m m'
_space_group_IT_number 123
_space_group_name_Hall '-P 4 2'
loop_
_atom_site_label
_atom_site_type_symbol
_atom_site_fract_x
_atom_site_fract_y
_atom_site_fract_z
Na1 Na 0.000 0.000 0.000
Eu1 Eu 0.500 0.500 0.272
I1 I 0.000 0.000 0.500
# formation energy (no corrections) = -0.428 eV/atom
# magnetization = 15.3 μB/f.u.
# N(E_F) = 0.9482 states/eV/atom